1.
# KTl2Cd

A PBEsol-optimized structure of KTl2Cd (meta-GGA SCAN, Alexandria).

Summary:
Calculated formation energy = -81 meV per atom
Symmetry = No. 12

a = 12.086 Å, b = 3.691 Å, c = 5.923 Å
α = 90.00°, β = 115.73°, γ = 90.00°
Element x y z (fractional)
K (0.000, 0.000, 0.000)
K (0.500, 0.500, 0.000)
Tl (0.222, 0.000, 0.719)
Tl (0.278, 0.500, 0.281)
Tl (0.722, 0.500, 0.719)
Tl (0.778, 0.000, 0.281)
Cd (0.000, 0.500, 0.500)
Cd (0.500, 0.000, 0.500)

2.
# YZn2

A PBEsol-optimized structure of YZn2 (meta-GGA SCAN, Alexandria).

Summary:
Calculated formation energy = -441 meV per atom
Symmetry = No. 227

a = 5.370 Å, b = 5.370 Å, c = 5.370 Å
α = 60.00°, β = 60.00°, γ = 60.00°
Element x y z (fractional)
Y (0.125, 0.125, 0.125)
Y (0.875, 0.875, 0.875)
Zn (0.000, 0.500, 0.500)
Zn (0.500, 0.000, 0.500)
Zn (0.500, 0.500, 0.000)
Zn (0.500, 0.500, 0.500)

3.
# K3NiH

A PBEsol-optimized structure of K3NiH (meta-GGA SCAN, Alexandria).

Summary:
Electronic total energy = -8.27 eV per atom
Symmetry = No. 221

a = 5.808 Å, b = 5.808 Å, c = 5.808 Å
α = 90.00°, β = 90.00°, γ = 90.00°
Element x y z (fractional)
K (0.000, 0.000, 0.500)
K (0.000, 0.500, 0.000)
K (0.500, 0.000, 0.000)
Ni (0.000, 0.000, 0.000)
H (0.500, 0.500, 0.500)

4.
# CrTc2Rh

A PBEsol-optimized structure of CrTc2Rh (meta-GGA SCAN, Alexandria).

Summary:
Calculated formation energy = 47 meV per atom
Symmetry = No. 25

a = 2.657 Å, b = 3.745 Å, c = 5.328 Å
α = 90.00°, β = 90.00°, γ = 90.00°
Element x y z (fractional)
Cr (0.000, 0.000, 0.000)
Tc (0.000, 0.000, 0.513)
Tc (0.500, 0.500, 0.760)
Rh (0.500, 0.500, 0.246)

5.
# Na2MgHg2

A PBEsol-optimized structure of Na2MgHg2 (meta-GGA SCAN, Alexandria).

Summary:
Calculated formation energy = -278 meV per atom
Symmetry = No. 127

a = 7.540 Å, b = 7.540 Å, c = 4.495 Å
α = 90.00°, β = 90.00°, γ = 90.00°
Element x y z (fractional)
Na (0.165, 0.335, 0.000)
Na (0.335, 0.835, 0.000)
Na (0.665, 0.165, 0.000)
Na (0.835, 0.665, 0.000)
Mg (0.000, 0.000, 0.500)
Mg (0.500, 0.500, 0.500)
Hg (0.139, 0.639, 0.500)
Hg (0.361, 0.139, 0.500)
Hg (0.639, 0.861, 0.500)
Hg (0.861, 0.361, 0.500)

6.
# Tl2AgAu

A PBEsol-optimized structure of Tl2AgAu (meta-GGA SCAN, Alexandria).

Summary:
Calculated formation energy = 29 meV per atom
Symmetry = No. 6

a = 3.716 Å, b = 4.388 Å, c = 5.706 Å
α = 90.00°, β = 108.26°, γ = 90.00°
Element x y z (fractional)
Tl (0.000, 0.000, 0.000)
Tl (0.300, 0.500, 0.605)
Ag (0.568, 0.500, 0.140)
Au (0.729, 0.000, 0.458)

| no. | spin magnetization (Bohr magnetons per cell) |
| --- | --- |
| 1 | 0.00 |
| 2 | 0.00 |
| 3 | 0.06 |
| 4 | 0.00 |
| 5 | 0.00 |
| 6 | 0.00 |